Record 1
A relaxed structure of Ba2HgGePd6. Source: Alexandria via LeMat-Bulk, functional GGA-PBE.

Cell: 6.792 7.269 8.753 Å, 49.10 53.97 84.04°
Fractional coordinates of all 10 atoms:
Pd 0.763 0.726 0.484
Pd 0.752 0.247 0.852
Pd 0.237 0.274 0.516
Pd 0.273 0.236 0.974
Pd 0.727 0.764 0.026
Pd 0.248 0.753 0.148
Hg 0.500 0.500 0.000
Ba 0.759 0.242 0.460
Ba 0.241 0.758 0.540
Ge 0.000 0.000 0.000

volume = 234.5 Å³ per cell
D(E_F) = 3.340 states/eV/f.u.
ΔE_f = -519.7 meV/atom
space group = No. 12
size of the total moment = 0.00 μB per cell



Record 2
A relaxed structure of BaPrHgGe. Source: Alexandria via LeMat-Bulk, functional GGA-PBE.

Cell: 5.588 5.588 5.588 Å, 60.00 60.00 60.00°
Fractional coordinates of all 4 atoms:
Pr 0.000 0.000 0.000
Ge 0.250 0.250 0.250
Ba 0.500 0.500 0.500
Hg 0.750 0.750 0.750

volume = 123.4 Å³ per cell
D(E_F) = 4.592 states/eV/f.u.
ΔE_f = -428.5 meV/atom
space group = No. 216
size of the total moment = 0.00 μB per cell



Record 3
A relaxed structure of Ba2HgGePt. Source: Alexandria via LeMat-Bulk, functional GGA-PBE.

Cell: 6.255 6.255 4.732 Å, 90.00 90.00 90.00°
Fractional coordinates of all 5 atoms:
Hg 0.500 0.500 0.500
Ba 0.000 0.500 0.000
Ba 0.500 0.000 0.000
Pt 0.000 0.000 0.000
Ge 0.000 0.000 0.500

volume = 185.1 Å³ per cell
D(E_F) = 3.540 states/eV/f.u.
ΔE_f = -566.3 meV/atom
space group = No. 123
size of the total moment = 0.00 μB per cell



Record 4
A relaxed structure of Ba2HgGe3Pt12. Source: Alexandria via LeMat-Bulk, functional GGA-PBE.

Cell: 8.048 8.048 8.048 Å, 63.86 63.86 63.86°
Fractional coordinates of all 18 atoms:
Pt 0.384 0.868 0.868
Pt 0.868 0.868 0.384
Pt 0.648 0.648 0.082
Pt 0.132 0.616 0.132
Pt 0.648 0.082 0.648
Pt 0.352 0.352 0.918
Pt 0.132 0.132 0.616
Pt 0.616 0.132 0.132
Pt 0.918 0.352 0.352
Pt 0.352 0.918 0.352
Pt 0.868 0.384 0.868
Pt 0.082 0.648 0.648
Ge 0.000 0.000 0.500
Ge 0.000 0.500 0.000
Ge 0.500 0.000 0.000
Ba 0.393 0.393 0.393
Ba 0.607 0.607 0.607
Hg 0.000 0.000 0.000

volume = 400.0 Å³ per cell
D(E_F) = 6.634 states/eV/f.u.
ΔE_f = -116.8 meV/atom
space group = No. 166
size of the total moment = 0.00 μB per cell



Record 5
A relaxed structure of BaReHgGe2. Source: Alexandria via LeMat-Bulk, functional GGA-PBE.

Cell: 5.611 5.782 5.611 Å, 90.00 90.00 90.00°
Fractional coordinates of all 5 atoms:
Re 0.500 0.500 0.500
Hg 0.000 0.500 0.000
Ba 0.000 0.000 0.000
Ge 0.500 0.000 0.000
Ge 0.000 0.000 0.500

volume = 182.0 Å³ per cell
D(E_F) = 13.483 states/eV/f.u.
ΔE_f = 2526.7 meV/atom
space group = No. 123
size of the total moment = 0.00 μB per cell



Record 6
A relaxed structure of BaHgGeRh2. Source: Alexandria via LeMat-Bulk, functional GGA-PBE.

Cell: 5.189 4.998 5.189 Å, 90.00 90.00 90.00°
Fractional coordinates of all 5 atoms:
Hg 0.000 0.000 0.000
Rh 0.500 0.000 0.000
Rh 0.000 0.000 0.500
Ge 0.000 0.500 0.000
Ba 0.500 0.500 0.500

volume = 134.6 Å³ per cell
D(E_F) = 4.021 states/eV/f.u.
ΔE_f = 587.3 meV/atom
space group = No. 123
size of the total moment = 0.00 μB per cell



Record 7
A relaxed structure of BaHgGe2S6. Source: Alexandria via LeMat-Bulk, functional GGA-PBE.

Cell: 6.208 9.717 9.717 Å, 96.62 82.06 82.06°
Fractional coordinates of all 20 atoms:
Ge 0.699 0.220 0.361
Ge 0.801 0.639 0.780
Ge 0.301 0.780 0.639
Ge 0.199 0.361 0.220
Hg 0.750 0.681 0.319
Hg 0.250 0.319 0.681
S 0.255 0.966 0.796
S 0.745 0.034 0.204
S 0.575 0.162 0.574
S 0.008 0.303 0.413
S 0.925 0.426 0.838
S 0.245 0.204 0.034
S 0.492 0.587 0.697
S 0.992 0.697 0.587
S 0.508 0.413 0.303
S 0.075 0.574 0.162
S 0.755 0.796 0.966
S 0.425 0.838 0.426
Ba 0.750 0.113 0.887
Ba 0.250 0.887 0.113

volume = 569.5 Å³ per cell
D(E_F) = 0.000 states/eV/f.u.
raw formation energy = -0.6419 eV/atom
space group = No. 15
size of the total moment = 0.00 μB per cell



Record 8
A relaxed structure of BaHgGeS4. Source: Alexandria via LeMat-Bulk, functional GGA-PBE.

Cell: 6.476 7.164 8.383 Å, 90.00 103.81 90.00°
Fractional coordinates of all 14 atoms:
S 0.990 0.514 0.279
S 0.010 0.486 0.721
S 0.346 0.750 0.082
S 0.010 0.014 0.721
S 0.990 0.986 0.279
S 0.654 0.250 0.918
S 0.467 0.750 0.547
S 0.533 0.250 0.453
Hg 0.220 0.250 0.569
Hg 0.780 0.750 0.431
Ba 0.769 0.750 0.942
Ba 0.231 0.250 0.058
Ge 0.775 0.250 0.694
Ge 0.225 0.750 0.306

volume = 377.7 Å³ per cell
D(E_F) = 0.000 states/eV/f.u.
raw formation energy = -0.7632 eV/atom
space group = No. 11
size of the total moment = 0.00 μB per cell



What is the size of the total moment in the third record? 0.00 μB per cell



What did the first record say?
A relaxed structure of Ba2HgGePd6. Source: Alexandria via LeMat-Bulk, functional GGA-PBE.

Cell: 6.792 7.269 8.753 Å, 49.10 53.97 84.04°
Fractional coordinates of all 10 atoms:
Pd 0.763 0.726 0.484
Pd 0.752 0.247 0.852
Pd 0.237 0.274 0.516
Pd 0.273 0.236 0.974
Pd 0.727 0.764 0.026
Pd 0.248 0.753 0.148
Hg 0.500 0.500 0.000
Ba 0.759 0.242 0.460
Ba 0.241 0.758 0.540
Ge 0.000 0.000 0.000

volume = 234.5 Å³ per cell
D(E_F) = 3.340 states/eV/f.u.
ΔE_f = -519.7 meV/atom
space group = No. 12
size of the total moment = 0.00 μB per cell



What is the D(E_F) in the seventh record? 0.000 states/eV/f.u.